A relaxed MnTl3Cr2F9 crystal, computed with GGA+U.

Values from the calculation:
The final energy comes out at -5.33 eV/atom. For the calculated density, the calculation gives 6.6 g cm⁻³. The total magnetic moment is 13.00 μB per formula unit.

Unit cell a=6.0615 b=6.0615 c=7.4207 alpha=90.00 beta=90.00 gamma=120.00
Space group P-3m1 (No. 164)
One atom of each set of equivalent atoms:
Mn  0.0000  0.0000  0.0000
Tl  0.0000  0.0000  0.5000
Tl  0.3333  0.6667  0.1640
Cr  0.3333  0.6667  0.6630
F  0.0000  0.5000  0.5000
F  0.1674  0.3348  0.8316